Here is a relaxed Pr2ZnSn3Ir4 crystal from Alexandria. Energies are from PBE-GGA.

- density of states at the Fermi level (states/eV/f.u.) = 7.28
- raw total energy (eV/atom) = -6.35
- M_tot (μB per cell) = 0.00

a = 4.3908 Å, b = 4.3908 Å, c = 11.0750 Å
α = 90.00°, β = 90.00°, γ = 90.00°
Positions (direct):
Sn 0.5000 0.0000 0.8676
Sn 0.0000 0.0000 0.5000
Sn 0.0000 0.5000 0.1324
Zn 0.5000 0.5000 0.5000
Ir 0.5000 0.5000 0.0000
Ir 0.0000 0.5000 0.3677
Ir 0.5000 0.0000 0.6323
Ir 0.0000 0.0000 0.0000
Pr 0.5000 0.0000 0.2532
Pr 0.0000 0.5000 0.7468